# PmCr2InO6

PmCr2InO6 after structural relaxation (GGA+U, Alexandria).

Cell and atoms, written as POSCAR:
```
PmCr2InO6
1.0
2.730 1.576 4.586
-2.730 1.576 4.586
0.000 -3.152 4.586
Pm Cr In O
1 2 1 6
direct
0.000 0.000 0.000 Pm
0.266 0.266 0.266 Cr
0.768 0.768 0.768 Cr
0.484 0.484 0.484 In
0.044 0.608 0.431 O
0.135 0.537 0.904 O
0.431 0.044 0.608 O
0.537 0.904 0.135 O
0.608 0.431 0.044 O
0.904 0.135 0.537 O
```

Summary:
SG: R3, No. 146
Final energy in eV/atom: -7.42